Entry from the Alexandria database: a geometry-optimized CoCuAg2 structure (PBE-GGA).

Calculated values
As for the energy above the lowest structure with this stoichiometry: 99 meV/atom. The calculation puts the energy of formation from the pure elements at 0.339 eV/atom. The crystal system is orthorhombic. The space group is Imm2 (44).

Unit cell a=2.7754 b=4.6389 c=9.2734 alpha=90.00 beta=90.00 gamma=90.00
Element x y z (fractional)
1 Co 0.0000 0.0000 0.0000
2 Co 0.5000 0.5000 0.5000
3 Cu 0.0000 0.5000 0.7196
4 Cu 0.5000 0.0000 0.2196
5 Ag 0.0000 0.0000 0.4705
6 Ag 0.0000 0.5000 0.2461
7 Ag 0.5000 0.0000 0.7461
8 Ag 0.5000 0.5000 0.9705